Record 1
## Pr4RuRhBr2 (PBE)

Data for an optimized crystal structure of Pr4RuRhBr2.

abc: 4.125 7.151 8.280
angles: 106.66 90.00 90.00
Element x y z (fractional)
Pr1 0.000 0.271 0.802
Ru1 0.500 0.500 0.000
Pr2 0.500 0.237 0.196
Pr3 0.500 0.763 0.804
Br1 0.500 0.000 0.500
Rh1 0.000 0.000 0.000
Br2 0.000 0.500 0.500
Pr4 0.000 0.729 0.198

Results
Its symmetry is P2/m, No. 10. The uncorrected energy comes out at -5.806 eV/atom. The value obtained for the formation energy (no corrections) is -919.5 meV per atom. The magnetization comes out at 0.00 μB/cell.


Record 2
## Pr6Rh2SeBr3 (PBE)

Data for an optimized crystal structure of Pr6Rh2SeBr3.

abc: 7.379 7.379 8.032
angles: 98.80 98.80 119.93
Element x y z (fractional)
Rh1 0.667 0.333 0.000
Br1 0.161 0.839 0.500
Br2 0.839 0.161 0.500
Pr1 0.577 0.932 0.797
Pr2 0.289 0.289 0.799
Pr3 0.711 0.711 0.201
Rh2 0.333 0.667 0.000
Pr4 0.423 0.068 0.203
Se1 0.000 0.000 0.000
Pr5 0.932 0.577 0.797
Br3 0.500 0.500 0.500
Pr6 0.068 0.423 0.203

Results
Its symmetry is C2/m, No. 12. The uncorrected energy comes out at -5.519 eV/atom. The value obtained for the formation energy (no corrections) is -1195.6 meV per atom. The magnetization comes out at 0.00 μB/cell.


Record 3
## Pr4RhSe2Br (PBE)

Data for an optimized crystal structure of Pr4RhSe2Br.

abc: 4.153 7.512 7.516
angles: 71.53 90.00 90.00
Element x y z (fractional)
Pr1 0.000 0.761 0.731
Se1 0.000 0.000 0.000
Br1 0.500 0.500 0.000
Pr2 0.500 0.733 0.276
Rh1 0.000 0.500 0.500
Pr3 0.500 0.267 0.724
Pr4 0.000 0.239 0.269
Se2 0.500 0.000 0.500

Results
Its symmetry is P2/m, No. 10. The uncorrected energy comes out at -5.758 eV/atom. The value obtained for the formation energy (no corrections) is -1369.0 meV per atom. The magnetization comes out at 0.00 μB/cell.


Record 4
## Pr8SiRh3Br4 (PBE)

Data for an optimized crystal structure of Pr8SiRh3Br4.

abc: 8.453 9.155 8.453
angles: 117.52 120.00 90.00
Element x y z (fractional)
Pr1 0.723 0.698 0.961
Br1 0.500 0.000 0.500
Pr2 0.238 0.698 0.961
Pr3 0.762 0.302 0.039
Br2 0.500 0.000 0.000
Br3 0.000 0.000 0.000
Rh1 0.500 0.500 0.000
Br4 0.000 0.000 0.500
Pr4 0.266 0.299 0.532
Pr5 0.238 0.698 0.475
Pr6 0.277 0.302 0.039
Rh2 0.000 0.500 0.500
Pr7 0.762 0.302 0.525
Si1 0.000 0.500 0.000
Pr8 0.734 0.701 0.468
Rh3 0.500 0.500 0.500

Results
Its symmetry is R-3m, No. 166. The uncorrected energy comes out at -5.536 eV/atom. The value obtained for the formation energy (no corrections) is -1011.1 meV per atom. The magnetization comes out at 0.00 μB/cell.


Record 5
## PrSmRhBr (PBE)

Data for an optimized crystal structure of PrSmRhBr.

abc: 4.095 4.094 8.266
angles: 90.01 104.34 120.00
Element x y z (fractional)
Br1 0.964 0.380 0.359
Sm1 0.100 0.948 0.063
Rh1 0.307 0.551 0.874
Pr1 0.507 0.151 0.674

Results
Its symmetry is R3m, No. 160. The uncorrected energy comes out at -5.691 eV/atom. The value obtained for the formation energy (no corrections) is -1060.7 meV per atom. The magnetization comes out at 0.00 μB/cell.


Record 6
## Pr8TcRh3Br4 (PBE)

Data for an optimized crystal structure of Pr8TcRh3Br4.

abc: 8.253 9.275 8.253
angles: 116.45 120.00 90.00
Element x y z (fractional)
Br1 0.000 0.000 0.500
Pr1 0.230 0.701 0.971
Rh1 0.500 0.500 0.500
Pr2 0.231 0.701 0.461
Br2 0.500 0.000 0.000
Br3 0.500 0.000 0.500
Pr3 0.770 0.299 0.029
Pr4 0.769 0.299 0.539
Pr5 0.260 0.299 0.029
Rh2 0.000 0.500 0.500
Pr6 0.269 0.306 0.537
Tc1 0.000 0.500 0.000
Pr7 0.740 0.701 0.971
Pr8 0.731 0.694 0.463
Br4 0.000 0.000 0.000
Rh3 0.500 0.500 0.000

Results
Its symmetry is R-3m, No. 166. The uncorrected energy comes out at -5.749 eV/atom. The value obtained for the formation energy (no corrections) is -914.4 meV per atom. The magnetization comes out at 0.00 μB/cell.


Record 7
## Pr8TeRh3Br4 (PBE)

Data for an optimized crystal structure of Pr8TeRh3Br4.

abc: 8.610 9.152 8.609
angles: 118.03 120.00 90.00
Element x y z (fractional)
Pr1 0.249 0.705 0.956
Pr2 0.293 0.295 0.044
Br1 0.000 0.000 0.500
Rh1 0.500 0.500 0.000
Br2 0.500 0.000 0.500
Pr3 0.268 0.304 0.537
Rh2 0.500 0.500 0.500
Pr4 0.732 0.696 0.463
Pr5 0.249 0.705 0.498
Rh3 0.000 0.500 0.500
Te1 0.000 0.500 0.000
Br3 0.000 0.000 0.000
Pr6 0.751 0.295 0.044
Br4 0.500 0.000 0.000
Pr7 0.707 0.705 0.956
Pr8 0.751 0.295 0.502

Results
Its symmetry is R-3m, No. 166. The uncorrected energy comes out at -5.449 eV/atom. The value obtained for the formation energy (no corrections) is -1066.2 meV per atom. The magnetization comes out at 0.00 μB/cell.


Record 8
## Pr4TeRhBr2 (PBE)

Data for an optimized crystal structure of Pr4TeRhBr2.

abc: 4.203 8.007 7.778
angles: 107.83 90.00 90.00
Element x y z (fractional)
Br1 0.500 0.000 0.500
Pr1 0.000 0.705 0.204
Pr2 0.500 0.274 0.229
Pr3 0.500 0.726 0.771
Te1 0.000 0.000 0.000
Pr4 0.000 0.295 0.796
Rh1 0.500 0.500 0.000
Br2 0.000 0.500 0.500

Results
Its symmetry is P2/m, No. 10. The uncorrected energy comes out at -5.256 eV/atom. The value obtained for the formation energy (no corrections) is -1136.3 meV per atom. The magnetization comes out at 0.00 μB/cell.


Record 9
## Pr8ZnRh3Br4 (PBE)

Data for an optimized crystal structure of Pr8ZnRh3Br4.

abc: 8.420 9.208 8.418
angles: 117.23 120.01 90.00
Element x y z (fractional)
Rh1 0.500 0.500 0.500
Rh2 0.000 0.500 0.500
Zn1 0.000 0.500 0.000
Pr1 0.239 0.698 0.478
Pr2 0.239 0.698 0.960
Br1 0.000 0.000 0.500
Pr3 0.761 0.302 0.522
Br2 0.500 0.000 0.500
Pr4 0.721 0.698 0.960
Br3 0.500 0.000 0.000
Pr5 0.734 0.701 0.468
Br4 0.000 0.000 0.000
Pr6 0.761 0.302 0.040
Pr7 0.279 0.302 0.040
Pr8 0.266 0.299 0.532
Rh3 0.500 0.500 0.000

Results
Its symmetry is C2/m, No. 12. The uncorrected energy comes out at -5.216 eV/atom. The value obtained for the formation energy (no corrections) is -950.5 meV per atom. The magnetization comes out at 0.00 μB/cell.


Record 10
## Pr6ZnRh2Br3 (PBE)

Data for an optimized crystal structure of Pr6ZnRh2Br3.

abc: 7.301 7.301 8.190
angles: 98.55 98.55 120.01
Element x y z (fractional)
Zn1 0.000 0.000 0.000
Pr1 0.717 0.717 0.202
Pr2 0.283 0.283 0.798
Rh1 0.667 0.333 0.000
Pr3 0.067 0.417 0.202
Pr4 0.417 0.067 0.202
Br1 0.834 0.166 0.500
Br2 0.500 0.500 0.500
Pr5 0.583 0.933 0.798
Pr6 0.933 0.583 0.798
Rh2 0.333 0.667 0.000
Br3 0.166 0.834 0.500

Results
Its symmetry is C2/m, No. 12. The uncorrected energy comes out at -5.062 eV/atom. The value obtained for the formation energy (no corrections) is -922.2 meV per atom. The magnetization comes out at 0.00 μB/cell.


Record 11
## PrRuBr (PBE)

Data for an optimized crystal structure of PrRuBr.

abc: 4.247 4.247 11.838
angles: 79.67 79.67 60.00
Element x y z (fractional)
Ru1 0.165 0.165 0.506
Pr1 0.559 0.559 0.322
Br1 0.281 0.281 0.158
Br2 0.719 0.719 0.842
Ru2 0.835 0.835 0.494
Pr2 0.441 0.441 0.678

Results
Its symmetry is R-3m, No. 166. As for the excess energy over the best structure of this formula in the dataset: 0 meV/atom. The uncorrected energy comes out at -6.178 eV/atom. The value obtained for the formation energy (no corrections) is -935.7 meV per atom. The magnetization comes out at 0.00 μB/cell.


Record 12
## PrRuBr (PBE)

Data for an optimized crystal structure of PrRuBr.

abc: 4.244 4.244 11.876
angles: 79.89 79.71 60.00
Element x y z (fractional)
Pr1 0.163 0.846 0.828
Ru1 0.769 0.456 0.006
Br1 0.320 0.012 0.348
Br2 0.552 0.232 0.663
Pr2 0.042 0.731 0.184
Ru2 0.436 0.122 0.006

Results
Its symmetry is Cm, No. 8. As for the excess energy over the best structure of this formula in the dataset: 5 meV/atom. The uncorrected energy comes out at -6.173 eV/atom. The value obtained for the formation energy (no corrections) is -930.4 meV per atom. The magnetization comes out at 0.00 μB/cell.


Among the records above, which one has the highest uncorrected energy? Pr6ZnRh2Br3


What is the formation energy (no corrections) in the eighth record? -1136.3 meV per atom